1.
## NbNi2SbO6 (PBE with a Hubbard U)

Data for an optimized crystal structure of NbNi2SbO6.

Lattice parameters (Å, degrees): 5.888 5.888 4.046 90.00 90.00 90.00
Space group P4mm (No. 99)
Unique sites:
Nb  0.000  0.000  0.000
Ni  0.000  0.500  0.176
Sb  0.500  0.500  0.031
O  0.000  0.000  0.555
O  0.242  0.242  0.089
O  0.500  0.500  0.540

Its total energy is -6.172 eV per atom. The value obtained for the density of states at the Fermi level is 4.28 states/eV per cell. The spin magnetization comes out at 3.0 μB/f.u. The value obtained for the density is 5.1 g/cm³.


2.
## La2MnF (PBE with a Hubbard U)

Data for an optimized crystal structure of La2MnF.

Lattice parameters (Å, degrees): 7.471 7.471 7.471 90.00 90.00 90.00
Space group Fm-3m (No. 225)
Unique sites:
La  0.250  0.250  0.250
Mn  0.000  0.000  0.000
F  0.000  0.000  0.500

The excess energy over the best structure of this formula in the dataset is 451 meV per atom. The value obtained for the density of states at the Fermi level is 17.38 states/eV per cell. The spin magnetization comes out at 3.2 μB/f.u. The value obtained for the density is 5.6 g/cm³.